# 1
40
Lattice="-5.058 -1.178 2.212 1.614 -2.542 -4.774 5.455 -10.136 7.388" Properties=species:S:1:pos:R:3 comment="Al2O3 PBE relaxed" rho_g_cm3=3.6 energy_ev_per_cell=-297.57 pbc="T T T"
O -3.144 -3.891 -0.811
O 1.680 -4.503 3.050
O -4.111 -2.558 1.712
O 0.685 -9.478 5.315
Al -1.847 -6.418 1.196
O -0.079 -6.293 1.718
Al -2.698 -3.200 0.744
O 1.271 -7.169 4.293
O -2.004 -4.566 1.796
O 5.154 -10.841 4.425
Al 3.835 -8.370 5.769
O 3.208 -9.016 4.132
Al -2.580 -3.225 -2.525
O 1.634 -10.717 2.961
O 2.792 -11.486 5.399
Al 2.437 -5.874 4.023
O 3.994 -10.207 1.927
Al 1.379 -10.845 6.367
Al 0.529 -7.627 5.915
O -0.884 -5.033 4.087
O -1.416 -2.024 0.475
Al -2.649 -5.164 3.531
O 0.531 -3.850 0.767
Al -0.096 -4.496 -0.870
O 2.468 -5.697 0.606
Al 1.302 -6.992 0.876
Al -0.164 -4.598 2.449
O 1.824 -10.153 7.923
O -1.338 -5.869 -0.624
O 2.059 -8.363 1.849
O -0.435 -9.011 3.024
O 4.552 -9.672 6.696
O -0.813 -3.194 -1.796
O 1.359 -5.200 -1.803
Al 3.519 -10.940 3.630
Al 3.903 -8.267 2.450
Al -0.858 -1.365 -1.244
O -1.240 -7.751 5.393
Al 1.330 -8.880 3.581
Al 0.220 -1.925 1.269

---

# 2
8
Lattice="3.750 0.000 0.000 0.000 4.560 0.000 0.000 0.000 11.782" Properties=species:S:1:pos:R:3 comment="Tb4Al3Hg PBE relaxed" rho_g_cm3=7.6 delta_e_f_ev_per_atom=-0.389 energy_ev_per_cell=-33.16 e_above_lowest_polymorph_mev_per_atom=28 pbc="T T T"
Al 0.000 2.280 6.690
Al 0.000 0.000 5.090
Tb 1.875 0.000 7.706
Tb 0.000 0.000 1.822
Tb 0.000 2.280 9.931
Al 1.875 0.000 10.928
Tb 1.875 2.280 4.108
Hg 1.875 2.280 0.853

---

# 3
5
Lattice="-1.238 -2.818 1.405 2.193 -2.244 1.265 -0.363 5.319 12.966" Properties=species:S:1:pos:R:3 comment="In4Pb PBE relaxed" rho_g_cm3=7.9 delta_e_f_ev_per_atom=0.008 energy_ev_per_cell=-14.62 e_above_lowest_polymorph_mev_per_atom=0 pbc="T T T"
In 0.545 -0.861 9.881
Pb 0.000 0.000 0.000
In 0.498 -1.941 4.264
In 0.094 2.198 11.372
In 0.046 1.118 5.755

---

# 4
12
Lattice="5.059 -0.114 -0.003 -0.090 5.060 -0.005 0.004 0.008 7.035" Properties=species:S:1:pos:R:3 comment="Dy2PuPbO8 PBE relaxed" rho_g_cm3=8.3 energy_ev_per_cell=-97.22 pbc="T T T"
O 4.101 0.848 1.596
Dy 2.487 2.478 5.265
O 4.104 0.853 5.432
Dy 2.486 2.475 1.762
O 0.869 4.100 1.595
Pu 0.000 0.000 0.000
O 1.501 1.497 3.515
O 3.472 3.457 3.512
Pb 0.002 0.004 3.517
O 1.444 1.440 -0.002
O 3.529 3.513 7.029
O 0.872 4.105 5.431

---

Number 1: calculated volume 9.475 A^3/atom, magnetic moment 0.000 μB/f.u., DOS at the Fermi energy 0.00 states/eV per cell. Number 2: calculated volume 25.184 A^3/atom, magnetic moment 0.143 μB/f.u., DOS at the Fermi energy 7.05 states/eV per cell. Number 3: calculated volume 28.195 A^3/atom, magnetic moment 0.000 μB/f.u., DOS at the Fermi energy 1.51 states/eV per cell. Number 4: calculated volume 14.999 A^3/atom, magnetic moment 2.007 μB/f.u., DOS at the Fermi energy 3.78 states/eV per cell.